A relaxed BaEuFe4O12 crystal, computed with GGA+U.

Cell: 5.4740 5.4740 7.7174 Å, 90.00 90.00 90.00°
Positions (direct):
Ba1 0.0000 0.0000 0.0000
Eu1 0.5000 0.5000 0.5000
Fe1 0.0000 0.5000 0.2510
Fe2 0.0000 0.5000 0.7490
Fe3 0.5000 0.0000 0.2510
Fe4 0.5000 0.0000 0.7490
O1 0.0000 0.5000 0.0000
O2 0.0000 0.5000 0.5000
O3 0.2585 0.2585 0.2643
O4 0.2585 0.2585 0.7357
O5 0.2585 0.7415 0.2643
O6 0.2585 0.7415 0.7357
O7 0.5000 0.0000 0.0000
O8 0.5000 0.0000 0.5000
O9 0.7415 0.2585 0.2643
O10 0.7415 0.2585 0.7357
O11 0.7415 0.7415 0.2643
O12 0.7415 0.7415 0.7357

As for the density of states at the Fermi level: 14.71 states/eV per cell. For the theoretical density, the calculation gives 5.06 Mg/m³. Its space group is P4/mmm. The calculation puts the total energy at -6.43 eV/atom.